Record 1
HgAs2Br | GGA-PBE | optimized geometry

Cell lengths 3.604, 3.604, 9.207 Å; angles 90.00, 90.00, 90.00 degrees
Positions (direct):
Hg 0.000 0.000 0.000
As 0.000 0.000 0.282
As 0.500 0.500 0.372
Br 0.500 0.500 0.832

Properties
E_tot   -2.77 eV per atom
Spin magnetization   0.00 μB per formula unit
Formation energy from raw total energies   0.049 eV/atom
Density   6.0 g cm⁻³



Record 2
HoTiPdRu | GGA-PBE | optimized geometry

Cell lengths 6.561, 6.561, 6.561 Å; angles 90.00, 90.00, 90.00 degrees
Positions (direct):
Ho 0.000 0.000 0.000
Ho 0.000 0.500 0.500
Ho 0.500 0.000 0.500
Ho 0.500 0.500 0.000
Ti 0.000 0.000 0.500
Ti 0.000 0.500 0.000
Ti 0.500 0.000 0.000
Ti 0.500 0.500 0.500
Pd 0.250 0.250 0.750
Pd 0.250 0.750 0.250
Pd 0.750 0.250 0.250
Pd 0.750 0.750 0.750
Ru 0.250 0.250 0.250
Ru 0.250 0.750 0.750
Ru 0.750 0.250 0.750
Ru 0.750 0.750 0.250

Properties
E_tot   -7.25 eV per atom
E_form   -2.1 eV/f.u.
Spin magnetization   0.01 μB per formula unit
Density   9.9 g cm⁻³



Record 3
Tb2Y2HoTm4 | GGA-PBE | optimized geometry

Cell lengths 9.409, 9.409, 9.451 Å; angles 115.29, 115.29, 21.78 degrees
Positions (direct):
Tb 0.166 0.166 0.002
Tb 0.834 0.834 0.998
Y 0.353 0.353 0.336
Y 0.647 0.647 0.664
Ho 0.500 0.500 0.000
Tm 0.019 0.019 0.333
Tm 0.315 0.315 0.664
Tm 0.685 0.685 0.336
Tm 0.981 0.981 0.667

Properties
E_tot   -4.96 eV per atom
E_form   0.0 eV/f.u.
Spin magnetization   0.00 μB per formula unit
Density   7.9 g cm⁻³



Record 4
DyGa12Pd4 | GGA-PBE | optimized geometry

Cell lengths 7.621, 7.621, 7.621 Å; angles 109.47, 109.47, 109.47 degrees
Positions (direct):
Dy 0.000 0.000 0.000
Ga 0.151 0.346 0.497
Ga 0.151 0.654 0.804
Ga 0.196 0.849 0.346
Ga 0.346 0.196 0.849
Ga 0.346 0.497 0.151
Ga 0.497 0.151 0.346
Ga 0.503 0.849 0.654
Ga 0.654 0.503 0.849
Ga 0.654 0.804 0.151
Ga 0.804 0.151 0.654
Ga 0.849 0.346 0.196
Ga 0.849 0.654 0.503
Pd 0.000 0.000 0.500
Pd 0.000 0.500 0.000
Pd 0.500 0.000 0.000
Pd 0.500 0.500 0.500

Properties
E_tot   -3.87 eV per atom
E_form   -4.2 eV/f.u.
Spin magnetization   0.00 μB per formula unit
Density   6.9 g cm⁻³